1.
A relaxed structure of CsRbAu10, computed with GGA-PBE.

Unit cell a=4.4834 b=5.9575 c=10.4869 alpha=90.00 beta=90.00 gamma=90.00
Last column: nearest neighbours and their distance in Å.
Sites, in units of the cell vectors:
1 Cs 0.0000 0.0000 0.0000  18 Au 3.46-3.80
2 Rb 0.0000 0.5000 0.5000  18 Au 3.44-3.73
3 Au 0.0000 0.0000 0.3367  6 Au 2.82-2.83
4 Au 0.0000 0.0000 0.6633  6 Au 2.82-2.83
5 Au 0.0000 0.5000 0.1688  6 Au 2.83-2.86
6 Au 0.0000 0.5000 0.8312  6 Au 2.83-2.86
7 Au 0.5000 0.0000 0.5000  8 Au 2.82-2.98
8 Au 0.5000 0.2527 0.2549  8 Au 2.83-3.05
9 Au 0.5000 0.2527 0.7451  8 Au 2.83-3.05
10 Au 0.5000 0.5000 0.0000  8 Au 2.86-3.05
11 Au 0.5000 0.7473 0.2549  8 Au 2.83-3.05
12 Au 0.5000 0.7473 0.7451  8 Au 2.83-3.05

Output
- Space-group type: No. 47
- Formation energy from the elements: -0.16 eV per atom

---

2.
A relaxed structure of Cs11RbAu2, computed with GGA-PBE.

Unit cell a=15.2350 b=15.2350 c=15.2350 alpha=112.50 beta=109.08 gamma=106.88
Last column: nearest neighbours and their distance in Å.
Sites, in units of the cell vectors:
1 Cs 0.0000 0.0000 0.0000  2 Au 3.59
2 Cs 0.0460 0.7364 0.0828  1 Au 3.66
3 Cs 0.0609 0.8861 0.6902  1 Au 3.61
4 Cs 0.1537 0.2364 0.6905  1 Au 3.66
5 Cs 0.1543 0.6069 0.7611  1 Au 3.60
6 Cs 0.1959 0.3707 0.3098  1 Au 3.61
7 Cs 0.3041 0.6139 0.1748  1 Au 3.61
8 Cs 0.3463 0.0368 0.0828  1 Au 3.66
9 Cs 0.3457 0.1069 0.4526  1 Au 3.60
10 Cs 0.4391 0.1293 0.8252  1 Au 3.61
11 Cs 0.4540 0.5368 0.6905  1 Au 3.66
12 Cs 0.5000 0.5000 0.0000  2 Au 3.59
13 Cs 0.5460 0.4632 0.3095  1 Au 3.66
14 Cs 0.5609 0.8707 0.1748  1 Au 3.61
15 Cs 0.6543 0.8931 0.5474  1 Au 3.60
16 Cs 0.6537 0.9632 0.9172  1 Au 3.66
17 Cs 0.6959 0.3861 0.8252  1 Au 3.61
18 Cs 0.8041 0.6293 0.6902  1 Au 3.61
19 Cs 0.8457 0.3931 0.2389  1 Au 3.60
20 Cs 0.8463 0.7636 0.3095  1 Au 3.66
21 Cs 0.9391 0.1139 0.3098  1 Au 3.61
22 Cs 0.9540 0.2636 0.9172  1 Au 3.66
23 Rb 0.2500 0.7500 0.5000  8 Cs 5.03-5.59
24 Rb 0.7500 0.2500 0.5000  8 Cs 5.03-5.59
25 Au 0.0817 0.8058 0.8875  6 Cs 3.59-3.66
26 Au 0.4183 0.3058 0.7242  6 Cs 3.59-3.66
27 Au 0.5817 0.6942 0.2758  6 Cs 3.59-3.66
28 Au 0.9183 0.1942 0.1125  6 Cs 3.59-3.66

Output
- Space-group type: No. 72
- Formation energy from the elements: -0.07 eV per atom

---

3.
A relaxed structure of Cs3Rb4Au3, computed with GGA-PBE.

Unit cell a=11.2182 b=11.2182 c=11.2182 alpha=109.47 beta=109.47 gamma=109.47
Last column: nearest neighbours and their distance in Å.
Sites, in units of the cell vectors:
1 Cs 0.1250 0.7500 0.8750  4 Au 3.97, 4 Rb 4.38
2 Cs 0.2500 0.6250 0.3750  4 Au 3.97, 4 Rb 4.38
3 Cs 0.3750 0.2500 0.6250  4 Au 3.97, 4 Rb 4.38
4 Cs 0.6250 0.3750 0.2500  4 Au 3.97, 4 Rb 4.38
5 Cs 0.7500 0.8750 0.1250  4 Au 3.97, 4 Rb 4.38
6 Cs 0.8750 0.1250 0.7500  4 Au 3.97, 4 Rb 4.38
7 Rb 0.0000 0.3483 0.5000  3 Au 3.58
8 Rb 0.0000 0.8483 0.5000  3 Au 3.58
9 Rb 0.1517 0.1517 0.1517  3 Au 3.58
10 Rb 0.3483 0.5000 0.0000  3 Au 3.58
11 Rb 0.5000 0.0000 0.3483  3 Au 3.58
12 Rb 0.5000 0.0000 0.8483  3 Au 3.58
13 Rb 0.6517 0.6517 0.6517  3 Au 3.58
14 Rb 0.8483 0.5000 0.0000  3 Au 3.58
15 Au 0.1250 0.8750 0.2500  4 Rb 3.58, 4 Cs 3.97
16 Au 0.2500 0.1250 0.8750  4 Rb 3.58, 4 Cs 3.97
17 Au 0.3750 0.6250 0.7500  4 Rb 3.58, 4 Cs 3.97
18 Au 0.6250 0.7500 0.3750  4 Rb 3.58, 4 Cs 3.97
19 Au 0.7500 0.3750 0.6250  4 Rb 3.58, 4 Cs 3.97
20 Au 0.8750 0.2500 0.1250  4 Rb 3.58, 4 Cs 3.97

Output
- Space-group type: No. 220
- Formation energy from the elements: -0.18 eV per atom

---

4.
A relaxed structure of Cs3Rb6Au, computed with GGA-PBE.

Unit cell a=12.2546 b=12.2546 c=12.2546 alpha=77.89 beta=77.89 gamma=77.89
Last column: nearest neighbours and their distance in Å.
Sites, in units of the cell vectors:
1 Cs 0.1415 0.1415 0.4836  9 Rb 5.06-5.27, 3 Cs 5.27-5.30
2 Cs 0.1415 0.4836 0.1415  9 Rb 5.06-5.27, 3 Cs 5.27-5.30
3 Cs 0.4836 0.1415 0.1415  9 Rb 5.06-5.27, 3 Cs 5.27-5.30
4 Cs 0.5164 0.8585 0.8585  9 Rb 5.06-5.27, 3 Cs 5.27-5.30
5 Cs 0.8585 0.5164 0.8585  9 Rb 5.06-5.27, 3 Cs 5.27-5.30
6 Cs 0.8585 0.8585 0.5164  9 Rb 5.06-5.27, 3 Cs 5.27-5.30
7 Rb 0.1287 0.8119 0.8119  1 Au 3.51
8 Rb 0.1881 0.1881 0.8713  1 Au 3.51
9 Rb 0.1881 0.8713 0.1881  1 Au 3.51
10 Rb 0.2074 0.5311 0.5311  1 Au 3.47
11 Rb 0.4689 0.4689 0.7926  1 Au 3.47
12 Rb 0.4689 0.7926 0.4689  1 Au 3.47
13 Rb 0.5311 0.2074 0.5311  1 Au 3.47
14 Rb 0.5311 0.5311 0.2074  1 Au 3.47
15 Rb 0.7926 0.4689 0.4689  1 Au 3.47
16 Rb 0.8119 0.1287 0.8119  1 Au 3.51
17 Rb 0.8119 0.8119 0.1287  1 Au 3.51
18 Rb 0.8713 0.1881 0.1881  1 Au 3.51
19 Au 0.0000 0.0000 0.0000  6 Rb 3.51
20 Au 0.5000 0.5000 0.5000  6 Rb 3.47

Output
- Space-group type: No. 166
- Formation energy from the elements: -0.05 eV per atom

---

5.
A relaxed structure of Cs4Rb7Au, computed with GGA-PBE.

Unit cell a=8.9284 b=8.9284 c=18.4892 alpha=103.07 beta=103.07 gamma=47.52
Last column: nearest neighbours and their distance in Å.
Sites, in units of the cell vectors:
1 Cs 0.0494 0.0494 0.3234  1 Au 3.55
2 Cs 0.3207 0.3207 0.2239  9 Rb 5.10-5.22, 3 Cs 5.19-5.20
3 Cs 0.6793 0.6793 0.7761  9 Rb 5.10-5.22, 3 Cs 5.19-5.20
4 Cs 0.9506 0.9506 0.6766  1 Au 3.55
5 Rb 0.1327 0.1327 0.9573  8 Rb 4.95-5.21, 4 Cs 5.10-5.31
6 Rb 0.2176 0.2176 0.5837  1 Au 3.51
7 Rb 0.4050 0.4050 0.8697  7 Rb 4.95-5.42, 5 Cs 5.14-5.25
8 Rb 0.5000 0.5000 0.5000  2 Au 3.60
9 Rb 0.5950 0.5950 0.1303  7 Rb 4.95-5.42, 5 Cs 5.14-5.25
10 Rb 0.7824 0.7824 0.4163  1 Au 3.51
11 Rb 0.8673 0.8673 0.0427  8 Rb 4.95-5.21, 4 Cs 5.10-5.31
12 Au 0.0000 0.0000 0.5000  4 Rb 3.51-3.60, 2 Cs 3.55

Output
- Space-group type: No. 12
- Formation energy from the elements: -0.05 eV per atom

---

6.
A relaxed structure of Cs3Rb6Au2, computed with GGA-PBE.

Unit cell a=20.7486 b=20.7486 c=20.7486 alpha=161.03 beta=161.03 gamma=26.95
Last column: nearest neighbours and their distance in Å.
Sites, in units of the cell vectors:
1 Cs 0.0000 0.0000 0.0000  8 Rb 5.06
2 Cs 0.2057 0.2057 0.0000  5 Rb 5.00-5.04
3 Cs 0.7943 0.7943 0.0000  5 Rb 5.00-5.04
4 Rb 0.0924 0.5924 0.5000  2 Au 3.44
5 Rb 0.3296 0.3296 0.0000  1 Au 3.48
6 Rb 0.4076 0.9076 0.5000  2 Au 3.44
7 Rb 0.5924 0.0924 0.5000  2 Au 3.44
8 Rb 0.6704 0.6704 0.0000  1 Au 3.48
9 Rb 0.9076 0.4076 0.5000  2 Au 3.44
10 Au 0.4158 0.4158 0.0000  5 Rb 3.44-3.48
11 Au 0.5842 0.5842 0.0000  5 Rb 3.44-3.48

Output
- Space-group type: No. 139
- Formation energy from the elements: -0.04 eV per atom

---

7.
A relaxed structure of Cs3Rb2Au4, computed with GGA-PBE.

Unit cell a=10.2049 b=10.2049 c=9.9190 alpha=90.00 beta=90.00 gamma=120.78
Last column: nearest neighbours and their distance in Å.
Sites, in units of the cell vectors:
1 Cs 0.0000 0.0000 0.0000  6 Au 3.54-3.80
2 Cs 0.0475 0.4525 0.2500  5 Au 3.53-3.79
3 Cs 0.4525 0.0475 0.7500  5 Au 3.53-3.79
4 Cs 0.5000 0.5000 0.5000  6 Au 3.54-3.80
5 Cs 0.5475 0.9525 0.2500  5 Au 3.53-3.79
6 Cs 0.9525 0.5475 0.7500  5 Au 3.53-3.79
7 Rb 0.1031 0.8969 0.3970  3 Au 3.47-3.53
8 Rb 0.3969 0.6031 0.8970  3 Au 3.47-3.53
9 Rb 0.6031 0.3969 0.1030  3 Au 3.47-3.53
10 Rb 0.8969 0.1031 0.6030  3 Au 3.47-3.53
11 Au 0.2132 0.7868 0.0344  1 Rb 3.53, 5 Cs 3.63-3.80
12 Au 0.2465 0.2535 0.2500  2 Rb 3.47, 3 Cs 3.53-3.54
13 Au 0.2535 0.2465 0.7500  2 Rb 3.47, 3 Cs 3.53-3.54
14 Au 0.2868 0.7132 0.5344  1 Rb 3.53, 5 Cs 3.63-3.80
15 Au 0.7132 0.2868 0.4656  1 Rb 3.53, 5 Cs 3.63-3.80
16 Au 0.7465 0.7535 0.2500  2 Rb 3.47, 3 Cs 3.53-3.54
17 Au 0.7535 0.7465 0.7500  2 Rb 3.47, 3 Cs 3.53-3.54
18 Au 0.7868 0.2132 0.9656  1 Rb 3.53, 5 Cs 3.63-3.80

Output
- Space-group type: No. 64
- Formation energy from the elements: -0.24 eV per atom

---

8.
A relaxed structure of Cs5RbAu6, computed with GGA-PBE.

Unit cell a=10.6011 b=10.6011 c=6.1225 alpha=106.74 beta=106.74 gamma=120.02
Last column: nearest neighbours and their distance in Å.
Sites, in units of the cell vectors:
1 Cs 0.0000 0.0000 0.0000  8 Au 3.73-3.80
2 Cs 0.1656 0.8344 0.5000  8 Au 3.77-3.78
3 Cs 0.3319 0.6681 0.0000  8 Au 3.72-3.80
4 Cs 0.6681 0.3319 0.0000  8 Au 3.72-3.80
5 Cs 0.8344 0.1656 0.5000  8 Au 3.77-3.78
6 Rb 0.5000 0.5000 0.5000  8 Au 3.68-3.71
7 Au 0.0911 0.4187 0.2542  1 Rb 3.68, 7 Cs 3.72-3.80
8 Au 0.2593 0.2593 0.7603  2 Rb 3.70-3.71, 6 Cs 3.72-3.80
9 Au 0.4187 0.0911 0.2542  1 Rb 3.68, 7 Cs 3.72-3.80
10 Au 0.5813 0.9089 0.7458  1 Rb 3.68, 7 Cs 3.72-3.80
11 Au 0.7407 0.7407 0.2397  2 Rb 3.70-3.71, 6 Cs 3.72-3.80
12 Au 0.9089 0.5813 0.7458  1 Rb 3.68, 7 Cs 3.72-3.80

Output
- Space-group type: No. 12
- Formation energy from the elements: -0.32 eV per atom